Entry 1:
# BPd3Rh SCAN PBEsol geometry
data_BPd3Rh
_cell_length_a 4.6913
_cell_length_b 4.6913
_cell_length_c 4.6913
_cell_angle_alpha 90.00
_cell_angle_beta 90.00
_cell_angle_gamma 90.00
_space_group_name_H-M_alt 'P 1'
_space_group_IT_number 1
_space_group_name_Hall 'P 1'
loop_
_atom_site_label
_atom_site_fract_x
_atom_site_fract_y
_atom_site_fract_z
Rh1 0.0000 0.0000 0.0000
Pd1 0.0000 0.0000 0.5000
Pd2 0.5000 0.0000 0.0000
Pd3 0.0000 0.5000 0.0000
B1 0.5000 0.5000 0.5000
# DFT formation energy: 2.0273 eV/atom
# Total energy: -25.877 eV per atom

Entry 2:
# BaGa3I SCAN PBEsol geometry
data_BaGa3I
_cell_length_a 6.0484
_cell_length_b 6.0484
_cell_length_c 6.0484
_cell_angle_alpha 90.00
_cell_angle_beta 90.00
_cell_angle_gamma 90.00
_space_group_name_H-M_alt 'P 1'
_space_group_IT_number 1
_space_group_name_Hall 'P 1'
loop_
_atom_site_label
_atom_site_fract_x
_atom_site_fract_y
_atom_site_fract_z
I1 0.5000 0.5000 0.5000
Ga1 0.0000 0.5000 0.0000
Ga2 0.0000 0.0000 0.5000
Ga3 0.5000 0.0000 0.0000
Ba1 0.0000 0.0000 0.0000
# Formation energy from raw total energies: 4.11 eV per formula unit
# Total energy: -24.245 eV per atom

Entry 3:
# KCdP SCAN PBEsol geometry
data_KCdP
_cell_length_a 3.1804
_cell_length_b 3.1804
_cell_length_c 7.4001
_cell_angle_alpha 102.41
_cell_angle_beta 102.41
_cell_angle_gamma 90.00
_space_group_name_H-M_alt 'P 1'
_space_group_IT_number 1
_space_group_name_Hall 'P 1'
loop_
_atom_site_label
_atom_site_fract_x
_atom_site_fract_y
_atom_site_fract_z
K1 0.6799 0.6799 0.3598
Cd1 0.9729 0.9729 0.9458
P1 0.3472 0.3472 0.6944
# DFT formation energy: 0.1529 eV/atom
# Total energy: -16.228 eV per atom

Entry 4:
# HgGeH2 SCAN PBEsol geometry
data_HgGeH2
_cell_length_a 4.4773
_cell_length_b 6.3957
_cell_length_c 4.4773
_cell_angle_alpha 69.51
_cell_angle_beta 90.00
_cell_angle_gamma 110.49
_space_group_name_H-M_alt 'P 1'
_space_group_IT_number 1
_space_group_name_Hall 'P 1'
loop_
_atom_site_label
_atom_site_fract_x
_atom_site_fract_y
_atom_site_fract_z
H1 0.3750 0.2500 0.3750
H2 0.3750 0.7500 0.8750
H3 0.8750 0.2500 0.3750
H4 0.3750 0.7500 0.3750
Hg1 0.7500 0.5000 0.7500
Hg2 0.0000 0.0000 0.0000
Ge1 0.5000 0.0000 0.5000
Ge2 0.2500 0.5000 0.2500
# Total energy: -23.072 eV per atom